# 1
DFT (SCAN) results for a PBEsol-optimized structure of LaIn3.

Geometry as POSCAR:
```
LaIn3
1.0
-2.1364 -3.5796 -2.0306
2.8096 -2.9404 2.2274
-6.6614 2.8307 7.3128
In La
6 2
direct
0.2500 0.7500 0.5000
0.8740 0.8740 0.7479
0.0000 0.5000 0.0000
0.7500 0.2500 0.5000
0.5000 0.0000 0.0000
0.1260 0.1260 0.2521
0.3793 0.3793 0.7587
0.6207 0.6207 0.2413
```

Calculated values
As for the uncorrected energy: -36.3487 eV per atom. The size of the total moment is 0.00 μB per formula unit. As for the crystal system: tetragonal. The space group is I4/mmm.

=====

# 2
DFT (SCAN) results for a PBEsol-optimized structure of KZrRh2.

Geometry as POSCAR:
```
KZrRh2
1.0
3.9920 0.0000 0.0000
0.0000 3.9920 0.0000
-1.9960 -1.9960 4.5136
K Rh Zr
1 2 1
direct
0.2500 0.7500 0.5000
0.0000 0.0000 0.0000
0.7500 0.2500 0.5000
0.5000 0.5000 0.0000
```

Calculated values
As for the uncorrected energy: -26.1616 eV per atom. The size of the total moment is 0.00 μB per formula unit. As for the crystal system: tetragonal. The space group is I-4m2.

=====

# 3
DFT (SCAN) results for a PBEsol-optimized structure of MgCoCu.

Geometry as POSCAR:
```
MgCoCu
1.0
2.7085 0.0000 0.0000
0.0000 3.3918 0.0000
-1.3542 -1.6959 4.2484
Co Cu Mg
1 1 1
direct
0.9852 0.9852 0.9705
0.3486 0.3486 0.6972
0.6662 0.6662 0.3323
```

Calculated values
As for the uncorrected energy: -12.3831 eV per atom. The size of the total moment is 1.56 μB per formula unit. As for the crystal system: orthorhombic. The space group is Imm2.

=====

# 4
DFT (SCAN) results for a PBEsol-optimized structure of NiAs2SeO.

Geometry as POSCAR:
```
NiAs2SeO
1.0
4.1983 0.0000 0.0000
0.0000 4.1983 0.0000
0.0000 0.0000 4.4499
O Ni As Se
1 1 2 1
direct
0.0000 0.0000 0.0000
0.5000 0.5000 0.5000
0.0000 0.5000 0.0000
0.5000 0.0000 0.0000
0.0000 0.0000 0.5000
```

Calculated values
The size of the total moment is 0.00 μB per formula unit. The value obtained for the raw formation energy is 644 meV/atom. As for the crystal system: tetragonal. The space group is P4/mmm.

=====

# 5
DFT (SCAN) results for a PBEsol-optimized structure of SrRe2Tc.

Geometry as POSCAR:
```
SrRe2Tc
1.0
3.7747 0.0000 0.0000
0.0000 3.7747 0.0000
0.0000 0.0000 4.8734
Sr Re Tc
1 2 1
direct
0.5000 0.5000 0.5000
0.5000 0.0000 0.0000
0.0000 0.5000 0.0000
0.0000 0.0000 0.5000
```

Calculated values
As for the uncorrected energy: -48.4037 eV per atom. The size of the total moment is 0.00 μB per formula unit. As for the crystal system: tetragonal. The space group is P4/mmm.

=====

# 6
DFT (SCAN) results for a PBEsol-optimized structure of Li2Pb.

Geometry as POSCAR:
```
Li2Pb
1.0
4.2946 0.0000 0.0000
0.0000 4.2946 0.0000
-2.1473 -2.1473 12.9531
Li Pb
8 4
direct
0.5876 0.5876 0.1751
0.7473 0.7473 0.4945
0.9973 0.4973 0.9945
0.4124 0.4124 0.8249
0.2527 0.2527 0.5055
0.8376 0.3376 0.6751
0.6624 0.1624 0.3249
0.5027 0.0027 0.0055
0.3294 0.8294 0.6589
0.0794 0.0794 0.1589
0.1706 0.6706 0.3411
0.9206 0.9206 0.8411
```

Calculated values
As for the uncorrected energy: -27.2330 eV per atom. The size of the total moment is 0.02 μB per formula unit. As for the crystal system: tetragonal. The space group is I4_1/amd.

=====

# 7
DFT (SCAN) results for a PBEsol-optimized structure of Be5Cu3.

Geometry as POSCAR:
```
Be5Cu3
1.0
-3.6078 0.1736 -0.7866
0.8162 -1.7370 -4.1269
-0.7973 -3.4128 2.9038
Be Cu
5 3
direct
0.0000 0.0000 0.5000
0.5000 0.2438 0.2438
0.0000 0.0000 0.0000
0.5000 0.7562 0.7562
0.0000 0.5000 0.0000
0.5000 0.2479 0.7521
0.5000 0.7521 0.2479
0.0000 0.5000 0.5000
```

Calculated values
As for the uncorrected energy: -8.5834 eV per atom. The size of the total moment is 0.00 μB per formula unit. As for the crystal system: orthorhombic. The space group is Cmmm.

=====

# 8
DFT (SCAN) results for a PBEsol-optimized structure of HgHO2.

Geometry as POSCAR:
```
HgHO2
1.0
3.8245 0.0000 0.0000
1.9123 3.3121 0.0000
1.9123 1.1040 3.1227
Hg O H
1 2 1
direct
0.5000 0.5000 0.5000
0.2500 0.2500 0.2500
0.7500 0.7500 0.7500
0.0000 0.0000 0.0000
```

Calculated values
As for the uncorrected energy: -20.1355 eV per atom. The size of the total moment is 1.02 μB per formula unit. As for the crystal system: cubic. The space group is Fm-3m.

=====

# 9
DFT (SCAN) results for a PBEsol-optimized structure of Hf2Co21B6.

Geometry as POSCAR:
```
Hf2Co21B6
1.0
7.3552 0.0000 0.0000
3.6776 6.3698 0.0000
3.6776 2.1233 6.0055
Co B Hf
21 6 2
direct
0.0000 0.6627 0.3373
0.0000 0.0000 0.3373
0.6147 0.6147 0.1559
0.0000 0.0000 0.0000
0.6147 0.1559 0.6147
0.8441 0.3853 0.3853
0.3853 0.3853 0.8441
0.0000 0.0000 0.6627
0.6627 0.0000 0.0000
0.3373 0.0000 0.6627
0.3373 0.0000 0.0000
0.3373 0.6627 0.0000
0.0000 0.6627 0.0000
0.6147 0.6147 0.6147
0.6627 0.3373 0.0000
0.1559 0.6147 0.6147
0.3853 0.3853 0.3853
0.3853 0.8441 0.3853
0.6627 0.0000 0.3373
0.0000 0.3373 0.0000
0.0000 0.3373 0.6627
0.7267 0.2733 0.7267
0.7267 0.2733 0.2733
0.2733 0.7267 0.7267
0.2733 0.2733 0.7267
0.7267 0.7267 0.2733
0.2733 0.7267 0.2733
0.7500 0.7500 0.7500
0.2500 0.2500 0.2500
```

Calculated values
As for the uncorrected energy: -18.6184 eV per atom. The size of the total moment is 23.74 μB per formula unit. As for the crystal system: cubic. The space group is Fm-3m.

=====

# 10
DFT (SCAN) results for a PBEsol-optimized structure of CaCuAsBr2.

Geometry as POSCAR:
```
CaCuAsBr2
1.0
5.3785 0.0000 0.0000
0.0000 5.3785 0.0000
0.0000 0.0000 5.7903
Br Cu Ca As
2 1 1 1
direct
0.5000 0.0000 0.0000
0.0000 0.5000 0.0000
0.5000 0.5000 0.5000
0.0000 0.0000 0.0000
0.0000 0.0000 0.5000
```

Calculated values
The size of the total moment is 2.00 μB per formula unit. The value obtained for the raw formation energy is -23 meV/atom. As for the crystal system: tetragonal. The space group is P4/mmm.

=====

# 11
DFT (SCAN) results for a PBEsol-optimized structure of ScPAu.

Geometry as POSCAR:
```
ScPAu
1.0
4.3832 0.0000 0.0000
2.1916 3.7959 0.0000
2.1916 1.2653 3.5788
P Sc Au
1 1 1
direct
0.5000 0.5000 0.5000
0.7500 0.7500 0.7500
0.0000 0.0000 0.0000
```

Calculated values
As for the uncorrected energy: -31.9342 eV per atom. The size of the total moment is 0.00 μB per formula unit. As for the crystal system: cubic. The space group is F-43m.

=====

# 12
DFT (SCAN) results for a PBEsol-optimized structure of Mn3CrS.

Geometry as POSCAR:
```
Mn3CrS
1.0
4.0588 0.0000 0.0000
0.0000 4.0588 0.0000
0.0000 0.0000 4.0588
Mn S Cr
3 1 1
direct
0.0000 0.5000 0.0000
0.5000 0.0000 0.0000
0.0000 0.0000 0.5000
0.0000 0.0000 0.0000
0.5000 0.5000 0.5000
```

Calculated values
The size of the total moment is 5.18 μB per formula unit. The value obtained for the raw formation energy is 60 meV/atom. As for the crystal system: cubic. The space group is Pm-3m.

=====

Listing mass density for the structures above in their given order: 7.655; 7.760; 6.245; 6.426; 13.345; 6.147; 5.402; 9.806; 9.794; 3.354; 7.610; 6.181 g cm⁻³.